Density functional theory data (GGA-PBEsol) for a relaxed structure of CeAlRu.

Cell lengths 6.736, 4.070, 8.122 Å; angles 90.00, 90.00, 90.00 degrees
Fractional coordinates of all 12 atoms:
Ce (0.034, 0.250, 0.182)
Ce (0.466, 0.750, 0.682)
Ce (0.534, 0.250, 0.318)
Ce (0.966, 0.750, 0.818)
Al (0.132, 0.250, 0.556)
Al (0.368, 0.750, 0.056)
Al (0.632, 0.250, 0.944)
Al (0.868, 0.750, 0.444)
Ru (0.248, 0.750, 0.372)
Ru (0.252, 0.250, 0.872)
Ru (0.748, 0.750, 0.128)
Ru (0.752, 0.250, 0.628)

Output
- space group = Pnma
- size of the total moment (μB per atom) = 0.000
- uncorrected energy (eV per atom) = -7.47



Density functional theory data (GGA-PBEsol) for a relaxed structure of La3BN2O3.

Cell lengths 12.594, 3.671, 10.925 Å; angles 90.00, 90.00, 90.00 degrees
Fractional coordinates of all 36 atoms:
La (0.115, 0.250, 0.109)
La (0.116, 0.750, 0.417)
La (0.127, 0.250, 0.726)
La (0.373, 0.750, 0.226)
La (0.384, 0.250, 0.917)
La (0.385, 0.750, 0.609)
La (0.615, 0.250, 0.391)
La (0.616, 0.750, 0.083)
La (0.627, 0.250, 0.774)
La (0.873, 0.750, 0.274)
La (0.884, 0.250, 0.583)
La (0.885, 0.750, 0.891)
B (0.210, 0.750, 0.917)
B (0.290, 0.250, 0.417)
B (0.710, 0.750, 0.583)
B (0.790, 0.250, 0.083)
N (0.232, 0.250, 0.533)
N (0.237, 0.250, 0.298)
N (0.263, 0.750, 0.798)
N (0.268, 0.750, 0.033)
N (0.732, 0.250, 0.967)
N (0.737, 0.250, 0.202)
N (0.763, 0.750, 0.702)
N (0.768, 0.750, 0.467)
O (0.033, 0.750, 0.611)
O (0.054, 0.750, 0.210)
O (0.096, 0.750, 0.920)
O (0.404, 0.250, 0.420)
O (0.446, 0.250, 0.710)
O (0.467, 0.250, 0.111)
O (0.533, 0.750, 0.889)
O (0.554, 0.750, 0.290)
O (0.596, 0.750, 0.580)
O (0.904, 0.250, 0.080)
O (0.946, 0.250, 0.790)
O (0.967, 0.250, 0.389)

Output
- formation energy (no corrections) (eV per atom) = -2.57
- space group = Pnma
- size of the total moment (μB per atom) = 0.000
- uncorrected energy (eV per atom) = -8.78



Density functional theory data (GGA-PBEsol) for a relaxed structure of NbMo3F.

Cell lengths 4.172, 4.172, 4.172 Å; angles 90.00, 90.00, 90.00 degrees
Fractional coordinates of all 5 atoms:
Nb (0.000, 0.000, 0.000)
Mo (0.000, 0.500, 0.500)
Mo (0.500, 0.000, 0.500)
Mo (0.500, 0.500, 0.000)
F (0.500, 0.500, 0.500)

Output
- formation energy (no corrections) (eV per atom) = 0.50
- space group = Pm-3m
- size of the total moment (μB per atom) = 0.000
- uncorrected energy (eV per atom) = -9.11



Density functional theory data (GGA-PBEsol) for a relaxed structure of PRhPb2.

Cell lengths 4.885, 4.885, 3.407 Å; angles 90.12, 90.12, 97.01 degrees
Fractional coordinates of all 4 atoms:
P (0.000, 0.000, 0.000)
Rh (0.500, 0.500, 0.000)
Pb (0.000, 0.500, 0.500)
Pb (0.500, 0.000, 0.500)

Output
- space group = C2/m
- size of the total moment (μB per atom) = 0.000
- uncorrected energy (eV per atom) = -5.15



Density functional theory data (GGA-PBEsol) for a relaxed structure of Li2CaAs.

Cell lengths 3.669, 3.669, 6.196 Å; angles 90.00, 90.00, 90.00 degrees
Fractional coordinates of all 4 atoms:
Li (0.000, 0.000, 0.189)
Li (0.000, 0.000, 0.811)
Ca (0.500, 0.500, 0.500)
As (0.500, 0.500, 0.000)

Output
- space group = P4/mmm
- size of the total moment (μB per atom) = 0.084
- uncorrected energy (eV per atom) = -3.13



Density functional theory data (GGA-PBEsol) for a relaxed structure of Tc2TeSe.

Cell lengths 5.255, 5.255, 5.255 Å; angles 137.24, 137.24, 62.07 degrees
Fractional coordinates of all 4 atoms:
Tc (0.000, 0.000, 0.000)
Tc (0.750, 0.250, 0.500)
Te (0.500, 0.500, 0.000)
Se (0.250, 0.750, 0.500)

Output
- formation energy (no corrections) (eV per atom) = 0.61
- energy above the lowest structure with this stoichiometry (eV per atom) = 0.596
- space group = I-4m2
- size of the total moment (μB per atom) = 0.001
- uncorrected energy (eV per atom) = -6.87



Density functional theory data (GGA-PBEsol) for a relaxed structure of RbHfSiOs2.

Cell lengths 4.663, 4.663, 4.724 Å; angles 90.00, 90.00, 90.00 degrees
Fractional coordinates of all 5 atoms:
Rb (0.000, 0.000, 0.000)
Hf (0.500, 0.500, 0.500)
Si (0.000, 0.000, 0.500)
Os (0.000, 0.500, 0.000)
Os (0.500, 0.000, 0.000)

Output
- formation energy (no corrections) (eV per atom) = 3.08
- space group = P4/mmm
- size of the total moment (μB per atom) = 0.000
- uncorrected energy (eV per atom) = -5.26



Density functional theory data (GGA-PBEsol) for a relaxed structure of YBeNi.

Cell lengths 3.859, 3.859, 3.717 Å; angles 90.00, 90.00, 120.00 degrees
Fractional coordinates of all 3 atoms:
Y (0.000, 0.000, 0.000)
Be (0.333, 0.667, 0.500)
Ni (0.667, 0.333, 0.500)

Output
- space group = P-6m2
- size of the total moment (μB per atom) = 0.000
- uncorrected energy (eV per atom) = -5.93



Density functional theory data (GGA-PBEsol) for a relaxed structure of HgPtN2O.

Cell lengths 3.746, 3.746, 4.615 Å; angles 90.00, 90.00, 90.00 degrees
Fractional coordinates of all 5 atoms:
Hg (0.000, 0.000, 0.000)
Pt (0.500, 0.500, 0.500)
N (0.000, 0.500, 0.500)
N (0.500, 0.000, 0.500)
O (0.500, 0.500, 0.000)

Output
- formation energy (no corrections) (eV per atom) = 1.08
- space group = P4/mmm
- size of the total moment (μB per atom) = 0.000
- uncorrected energy (eV per atom) = -4.88



Density functional theory data (GGA-PBEsol) for a relaxed structure of MnZn2Pb.

Cell lengths 4.744, 4.744, 5.215 Å; angles 100.78, 100.78, 38.60 degrees
Fractional coordinates of all 4 atoms:
Mn (0.000, 0.000, 0.000)
Zn (0.264, 0.264, 0.810)
Zn (0.736, 0.736, 0.190)
Pb (0.500, 0.500, 0.500)

Output
- space group = C2/m
- size of the total moment (μB per atom) = 0.895
- uncorrected energy (eV per atom) = -3.89



Density functional theory data (GGA-PBEsol) for a relaxed structure of AsIrAu2.

Cell lengths 4.881, 4.881, 2.773 Å; angles 90.00, 90.00, 90.00 degrees
Fractional coordinates of all 4 atoms:
As (0.000, 0.000, 0.000)
Ir (0.500, 0.500, 0.000)
Au (0.000, 0.500, 0.500)
Au (0.500, 0.000, 0.500)

Output
- space group = P4/mmm
- size of the total moment (μB per atom) = 0.000
- uncorrected energy (eV per atom) = -5.27



Density functional theory data (GGA-PBEsol) for a relaxed structure of Mg2Ag3.

Cell lengths 7.380, 5.492, 8.419 Å; angles 59.75, 40.00, 80.24 degrees
Fractional coordinates of all 10 atoms:
Mg (0.269, 0.731, 0.337)
Mg (0.587, 0.913, 0.519)
Mg (0.731, 0.269, 0.663)
Mg (0.913, 0.587, 0.981)
Ag (0.116, 0.825, 0.087)
Ag (0.163, 0.278, 0.134)
Ag (0.278, 0.163, 0.425)
Ag (0.434, 0.434, 0.566)
Ag (0.684, 0.684, 0.816)
Ag (0.825, 0.116, 0.972)

Output
- energy above the lowest structure with this stoichiometry (eV per atom) = 0.009
- space group = Fdd2
- size of the total moment (μB per atom) = 0.000
- uncorrected energy (eV per atom) = -2.87



Density functional theory data (GGA-PBEsol) for a relaxed structure of InTcAg.

Cell lengths 5.004, 5.004, 5.004 Å; angles 147.84, 130.41, 60.34 degrees
Fractional coordinates of all 3 atoms:
In (0.000, 0.000, 0.000)
Tc (0.666, 0.666, 0.000)
Ag (0.328, 0.328, 0.000)

Output
- energy above the lowest structure with this stoichiometry (eV per atom) = 0.000
- space group = Imm2
- size of the total moment (μB per atom) = 0.000
- uncorrected energy (eV per atom) = -5.39



Density functional theory data (GGA-PBEsol) for a relaxed structure of Ca3LaAl.

Cell lengths 5.657, 5.657, 5.657 Å; angles 90.00, 90.00, 90.00 degrees
Fractional coordinates of all 5 atoms:
Ca (0.000, 0.000, 0.500)
Ca (0.000, 0.500, 0.000)
Ca (0.500, 0.000, 0.000)
La (0.000, 0.000, 0.000)
Al (0.500, 0.500, 0.500)

Output
- space group = Pm-3m
- size of the total moment (μB per atom) = 0.000
- uncorrected energy (eV per atom) = -2.15



Density functional theory data (GGA-PBEsol) for a relaxed structure of ZrMnSbSe2.

Cell lengths 5.234, 5.234, 5.444 Å; angles 90.00, 90.00, 90.00 degrees
Fractional coordinates of all 5 atoms:
Zr (0.000, 0.000, 0.000)
Mn (0.500, 0.500, 0.000)
Sb (0.000, 0.000, 0.500)
Se (0.000, 0.500, 0.500)
Se (0.500, 0.000, 0.500)

Output
- formation energy (no corrections) (eV per atom) = 1.03
- space group = P4/mmm
- size of the total moment (μB per atom) = 0.741
- uncorrected energy (eV per atom) = -5.19



Density functional theory data (GGA-PBEsol) for a relaxed structure of IrWBr2.

Cell lengths 3.051, 3.206, 8.462 Å; angles 90.00, 90.11, 90.00 degrees
Fractional coordinates of all 4 atoms:
Ir (0.000, 0.000, 0.000)
W (0.499, 0.500, 0.838)
Br (0.002, 0.500, 0.247)
Br (0.498, 0.000, 0.605)

Output
- formation energy (no corrections) (eV per atom) = 0.11
- energy above the lowest structure with this stoichiometry (eV per atom) = 0.000
- space group = Pm
- size of the total moment (μB per atom) = 0.001
- uncorrected energy (eV per atom) = -6.73



Density functional theory data (GGA-PBEsol) for a relaxed structure of Na2Se2I.

Cell lengths 5.971, 5.971, 5.971 Å; angles 123.84, 123.84, 83.47 degrees
Fractional coordinates of all 5 atoms:
Na (0.250, 0.750, 0.500)
Na (0.750, 0.250, 0.500)
Se (0.130, 0.130, 0.000)
Se (0.870, 0.870, 0.000)
I (0.500, 0.500, 0.000)

Output
- formation energy (no corrections) (eV per atom) = -0.67
- space group = I4/mmm
- size of the total moment (μB per atom) = 0.190
- uncorrected energy (eV per atom) = -3.12



Density functional theory data (GGA-PBEsol) for a relaxed structure of Cr3GeP.

Cell lengths 4.120, 4.120, 4.120 Å; angles 90.00, 90.00, 90.00 degrees
Fractional coordinates of all 5 atoms:
Cr (0.000, 0.000, 0.500)
Cr (0.000, 0.500, 0.000)
Cr (0.500, 0.000, 0.000)
Ge (0.500, 0.500, 0.500)
P (0.000, 0.000, 0.000)

Output
- space group = Pm-3m
- size of the total moment (μB per atom) = 0.001
- uncorrected energy (eV per atom) = -7.75



Density functional theory data (GGA-PBEsol) for a relaxed structure of Ta2ZnCo.

Cell lengths 4.697, 4.697, 2.771 Å; angles 90.00, 90.00, 108.21 degrees
Fractional coordinates of all 4 atoms:
Ta (0.000, 0.500, 0.000)
Ta (0.500, 0.000, 0.000)
Zn (0.000, 0.000, 0.500)
Co (0.500, 0.500, 0.500)

Output
- space group = Cmmm
- size of the total moment (μB per atom) = 0.001
- uncorrected energy (eV per atom) = -8.60



Density functional theory data (GGA-PBEsol) for a relaxed structure of InFe2Au.

Cell lengths 5.013, 5.013, 4.317 Å; angles 115.20, 115.20, 37.91 degrees
Fractional coordinates of all 4 atoms:
In (0.000, 0.000, 0.000)
Fe (0.468, 0.468, 0.468)
Fe (0.765, 0.765, 0.265)
Au (0.229, 0.229, 0.729)

Output
- space group = Cm
- size of the total moment (μB per atom) = 1.220
- uncorrected energy (eV per atom) = -6.05